(1)
An optimized crystal structure of NbBiNF2, computed with GGA-PBE.

Summary:
E_tot	-6.182	eV per atom
calculated density	7.56	Mg/m³
energy above the most stable polymorph in this dataset	0.00	eV per formula unit
space-group type	P4/mmm
formation energy from raw total energies	-0.978	eV/atom

abc: 4.3468 4.3468 4.1122
angles: 90.00 90.00 90.00
Positions (direct):
Nb 0.0000 0.0000 0.0000
Bi 0.5000 0.5000 0.5000
N 0.0000 0.0000 0.5000
F 0.0000 0.5000 0.0000
F 0.5000 0.0000 0.0000

***

(2)
An optimized crystal structure of ThAgPd, computed with GGA-PBE.

Summary:
E_tot	-5.574	eV per atom
calculated density	11.03	Mg/m³
energy above the most stable polymorph in this dataset	0.35	eV per formula unit
space-group type	P-6m2

abc: 4.7435 4.7435 3.4472
angles: 90.00 90.00 120.00
Positions (direct):
Th 0.0000 0.0000 0.0000
Ag 0.3333 0.6667 0.5000
Pd 0.6667 0.3333 0.5000

***

(3)
An optimized crystal structure of MoPRh2, computed with GGA-PBE.

Summary:
E_tot	-7.914	eV per atom
calculated density	9.67	Mg/m³
space-group type	C2/m

abc: 4.7522 4.7522 4.4661
angles: 91.42 91.42 34.51
Positions (direct):
Mo 0.0000 0.0000 0.0000
P 0.5000 0.5000 0.5000
Rh 0.2688 0.2688 0.7525
Rh 0.7312 0.7312 0.2475

***

(4)
An optimized crystal structure of Ce2ScCrN5, computed with GGA-PBE.

Summary:
E_tot	-8.943	eV per atom
calculated density	6.53	Mg/m³
space-group type	Cmc2_1
formation energy from raw total energies	-1.226	eV/atom

abc: 6.9414 6.9414 10.1196
angles: 90.00 90.00 152.18
Positions (direct):
Ce 0.1181 0.8819 0.5000
Ce 0.1425 0.8575 0.0947
Ce 0.8575 0.1425 0.5947
Ce 0.8819 0.1181 0.0000
Sc 0.2096 0.7904 0.8041
Sc 0.7904 0.2096 0.3041
Cr 0.4897 0.5103 0.2692
Cr 0.5103 0.4897 0.7692
N 0.0436 0.9564 0.8367
N 0.2851 0.7149 0.4576
N 0.3085 0.6915 0.1627
N 0.3735 0.6265 0.8067
N 0.4923 0.5077 0.5921
N 0.5077 0.4923 0.0921
N 0.6265 0.3735 0.3067
N 0.6915 0.3085 0.6627
N 0.7149 0.2851 0.9576
N 0.9564 0.0436 0.3367

***

(5)
An optimized crystal structure of Cs2Tl12Au7, computed with GGA-PBE.

Summary:
E_tot	-2.624	eV per atom
calculated density	11.08	Mg/m³
space-group type	P-6

abc: 12.1629 12.1629 4.7932
angles: 90.00 90.00 120.00
Positions (direct):
Cs 0.0000 0.0000 0.0000
Cs 0.3333 0.6667 0.5000
Tl 0.0438 0.2775 0.5000
Tl 0.1134 0.7143 0.0000
Tl 0.2337 0.9562 0.5000
Tl 0.2857 0.3991 0.0000
Tl 0.3889 0.1891 0.0000
Tl 0.5559 0.4350 0.5000
Tl 0.5650 0.1209 0.5000
Tl 0.6009 0.8866 0.0000
Tl 0.7225 0.7663 0.5000
Tl 0.8002 0.6111 0.0000
Tl 0.8109 0.1998 0.0000
Tl 0.8791 0.4441 0.5000
Au 0.0616 0.4484 0.0000
Au 0.2664 0.2335 0.5000
Au 0.3868 0.9384 0.0000
Au 0.5516 0.6132 0.0000
Au 0.6667 0.3333 0.0000
Au 0.7665 0.0328 0.5000
Au 0.9672 0.7336 0.5000

***

(6)
An optimized crystal structure of Y2MnAu, computed with GGA-PBE.

Summary:
E_tot	-6.284	eV per atom
calculated density	6.70	Mg/m³
energy above the most stable polymorph in this dataset	1.55	eV per formula unit
space-group type	R3m

abc: 8.8980 8.8980 8.8980
angles: 24.50 24.50 24.50
Positions (direct):
Y 0.0000 0.0000 0.0000
Y 0.2172 0.2172 0.2172
Mn 0.7511 0.7511 0.7511
Au 0.4736 0.4736 0.4736

***

(7)
An optimized crystal structure of HfBe8Os3, computed with GGA-PBE.

Summary:
E_tot	-6.492	eV per atom
calculated density	11.02	Mg/m³
space-group type	P3m1

abc: 4.4217 4.4217 7.3100
angles: 90.00 90.00 120.00
Positions (direct):
Hf 0.0000 0.0000 0.0000
Be 0.1659 0.3317 0.6739
Be 0.1659 0.8341 0.6739
Be 0.3333 0.6667 0.4381
Be 0.3333 0.6667 0.9251
Be 0.5033 0.0065 0.2016
Be 0.5033 0.4967 0.2016
Be 0.6683 0.8341 0.6739
Be 0.9935 0.4967 0.2016
Os 0.0000 0.0000 0.3700
Os 0.6667 0.3333 0.5009
Os 0.6667 0.3333 0.8694

***

(8)
An optimized crystal structure of LiPaGeAu, computed with GGA-PBE.

Summary:
E_tot	-5.207	eV per atom
calculated density	10.37	Mg/m³
space-group type	F-43m

abc: 4.8618 4.8618 4.8618
angles: 60.00 60.00 60.00
Positions (direct):
Li 0.0000 0.0000 0.0000
Pa 0.5000 0.5000 0.5000
Ge 0.2500 0.2500 0.2500
Au 0.7500 0.7500 0.7500

***

(9)
An optimized crystal structure of HgGeMo3, computed with GGA-PBE.

Summary:
E_tot	-4.934	eV per atom
calculated density	7.10	Mg/m³
energy above the most stable polymorph in this dataset	6.18	eV per formula unit
space-group type	Pm-3m

abc: 5.0805 5.0805 5.0805
angles: 90.00 90.00 90.00
Positions (direct):
Hg 0.0000 0.0000 0.0000
Ge 0.5000 0.5000 0.5000
Mo 0.0000 0.0000 0.5000
Mo 0.0000 0.5000 0.0000
Mo 0.5000 0.0000 0.0000

***

(10)
An optimized crystal structure of Zr5Pd2Rh, computed with GGA-PBE.

Summary:
E_tot	-8.014	eV per atom
calculated density	8.23	Mg/m³
space-group type	Pbam

abc: 5.7787 11.2707 4.7846
angles: 90.00 90.00 90.00
Positions (direct):
Zr 0.0000 0.0000 0.0000
Zr 0.1446 0.3764 0.5000
Zr 0.1482 0.7374 0.0000
Zr 0.3518 0.2374 0.0000
Zr 0.3554 0.8764 0.5000
Zr 0.5000 0.5000 0.0000
Zr 0.6446 0.1236 0.5000
Zr 0.6482 0.7626 0.0000
Zr 0.8518 0.2626 0.0000
Zr 0.8554 0.6236 0.5000
Pd 0.1353 0.1168 0.5000
Pd 0.3647 0.6168 0.5000
Pd 0.6353 0.3832 0.5000
Pd 0.8647 0.8832 0.5000
Rh 0.0000 0.5000 0.0000
Rh 0.5000 0.0000 0.0000

***

(11)
An optimized crystal structure of CsAlAgSb2, computed with GGA-PBE.

Summary:
E_tot	-3.309	eV per atom
calculated density	4.90	Mg/m³
space-group type	Cmme
formation energy from raw total energies	-0.171	eV/atom

abc: 7.2535 7.2535 7.6572
angles: 90.00 90.00 120.64
Positions (direct):
Cs 0.2500 0.7500 0.7636
Cs 0.7500 0.2500 0.2364
Al 0.2500 0.2500 0.5000
Al 0.7500 0.7500 0.5000
Ag 0.0000 0.0000 0.0000
Ag 0.5000 0.5000 0.0000
Sb 0.1110 0.8890 0.3024
Sb 0.3890 0.6110 0.3024
Sb 0.6110 0.3890 0.6976
Sb 0.8890 0.1110 0.6976

***

(12)
An optimized crystal structure of GaSn2Hg6, computed with GGA-PBE.

Summary:
E_tot	-1.374	eV per atom
calculated density	10.64	Mg/m³
space-group type	C2/m

abc: 7.5178 7.5178 10.7017
angles: 121.12 121.12 27.42
Positions (direct):
Ga 0.0000 0.0000 0.0000
Sn 0.4371 0.4371 0.7324
Sn 0.5629 0.5629 0.2676
Hg 0.0800 0.0800 0.6700
Hg 0.2724 0.2724 0.3804
Hg 0.3153 0.3153 0.9556
Hg 0.6847 0.6847 0.0444
Hg 0.7276 0.7276 0.6196
Hg 0.9200 0.9200 0.3300

***

(13)
An optimized crystal structure of Pu2FeSi6Os, computed with GGA-PBE.

Summary:
E_tot	-8.434	eV per atom
calculated density	8.65	Mg/m³
space-group type	R-3m
formation energy from raw total energies	-0.344	eV/atom

abc: 12.3962 12.3962 12.3962
angles: 27.02 27.02 27.02
Positions (direct):
Pu 0.1252 0.1252 0.1252
Pu 0.2813 0.2813 0.2813
Pu 0.7187 0.7187 0.7187
Pu 0.8748 0.8748 0.8748
Fe 0.0000 0.0000 0.0000
Fe 0.5000 0.5000 0.5000
Si 0.0727 0.6603 0.6603
Si 0.1898 0.1898 0.7735
Si 0.1898 0.7735 0.1898
Si 0.2265 0.8102 0.8102
Si 0.3397 0.3397 0.9273
Si 0.3397 0.9273 0.3397
Si 0.6603 0.0727 0.6603
Si 0.6603 0.6603 0.0727
Si 0.7735 0.1898 0.1898
Si 0.8102 0.2265 0.8102
Si 0.8102 0.8102 0.2265
Si 0.9273 0.3397 0.3397
Os 0.4230 0.4230 0.4230
Os 0.5770 0.5770 0.5770

***

(14)
An optimized crystal structure of KTe4Pt, computed with GGA-PBE.

Summary:
E_tot	-2.910	eV per atom
calculated density	6.79	Mg/m³
space-group type	F-43m
formation energy from raw total energies	0.374	eV/atom

abc: 6.3608 6.3608 6.3608
angles: 60.00 60.00 60.00
Positions (direct):
K 0.0000 0.0000 0.0000
Te 0.3772 0.3772 0.3772
Te 0.3772 0.3772 0.8685
Te 0.3772 0.8685 0.3772
Te 0.8685 0.3772 0.3772
Pt 0.7500 0.7500 0.7500

***

(15)
An optimized crystal structure of AcZnCuAu6, computed with GGA-PBE.

Summary:
E_tot	-3.392	eV per atom
calculated density	11.86	Mg/m³
space-group type	Imma

abc: 9.1265 9.1265 9.1265
angles: 136.44 122.63 74.70
Positions (direct):
Ac 0.3436 0.0936 0.2500
Ac 0.6564 0.9064 0.7500
Zn 0.0000 0.5000 0.5000
Zn 0.5000 0.5000 0.0000
Cu 0.0000 0.0000 0.5000
Cu 0.0000 0.5000 0.0000
Au 0.1335 0.4333 0.2683
Au 0.1335 0.8652 0.7003
Au 0.1335 0.8835 0.2500
Au 0.3351 0.1348 0.7683
Au 0.3351 0.5667 0.2003
Au 0.3646 0.6146 0.7500
Au 0.6354 0.3854 0.2500
Au 0.6649 0.4333 0.7997
Au 0.6649 0.8652 0.2317
Au 0.8665 0.1165 0.7500
Au 0.8665 0.1348 0.2997
Au 0.8665 0.5667 0.7317

***

(16)
An optimized crystal structure of LiZrIn, computed with GGA-PBE.

Summary:
E_tot	-3.899	eV per atom
calculated density	4.61	Mg/m³
energy above the most stable polymorph in this dataset	2.17	eV per formula unit
space-group type	F-43m

abc: 4.7686 4.7686 4.7686
angles: 60.00 60.00 60.00
Positions (direct):
Li 0.0000 0.0000 0.0000
Zr 0.7500 0.7500 0.7500
In 0.5000 0.5000 0.5000

***

(17)
An optimized crystal structure of LiY2Cd, computed with GGA-PBE.

Summary:
E_tot	-3.874	eV per atom
calculated density	4.79	Mg/m³
energy above the most stable polymorph in this dataset	0.86	eV per formula unit
space-group type	F-43m

abc: 5.2623 5.2623 5.2623
angles: 60.00 60.00 60.00
Positions (direct):
Li 0.0000 0.0000 0.0000
Y 0.5000 0.5000 0.5000
Y 0.7500 0.7500 0.7500
Cd 0.2500 0.2500 0.2500

***

(18)
An optimized crystal structure of Rb2NaTa2O7, computed with GGA-PBE.

Summary:
E_tot	-7.476	eV per atom
calculated density	6.00	Mg/m³
space-group type	I4/mmm
formation energy from raw total energies	-2.337	eV/atom

abc: 11.7634 11.7634 11.7634
angles: 160.30 160.30 28.00
Positions (direct):
Rb 0.1916 0.1916 0.0000
Rb 0.8084 0.8084 0.0000
Na 0.0000 0.0000 0.0000
Ta 0.4093 0.4093 0.0000
Ta 0.5907 0.5907 0.0000
O 0.0848 0.5848 0.5000
O 0.3264 0.3264 0.0000
O 0.4152 0.9152 0.5000
O 0.5000 0.5000 0.0000
O 0.5848 0.0848 0.5000
O 0.6736 0.6736 0.0000
O 0.9152 0.4152 0.5000

***

(19)
An optimized crystal structure of LaPr5P6, computed with GGA-PBE.

Summary:
E_tot	-6.635	eV per atom
calculated density	5.37	Mg/m³
space-group type	C2/m

abc: 7.3027 7.3027 7.3029
angles: 99.60 99.60 119.99
Positions (direct):
La 0.0000 0.0000 0.0000
Pr 0.1666 0.8334 0.5000
Pr 0.3333 0.6667 0.0000
Pr 0.5000 0.5000 0.5000
Pr 0.6667 0.3333 0.0000
Pr 0.8334 0.1666 0.5000
P 0.0835 0.4180 0.2507
P 0.2510 0.2510 0.7494
P 0.4180 0.0835 0.2507
P 0.5820 0.9165 0.7493
P 0.7490 0.7490 0.2506
P 0.9165 0.5820 0.7493

***

(20)
An optimized crystal structure of LiLa2ZnCo, computed with GGA-PBE.

Summary:
E_tot	-4.045	eV per atom
calculated density	5.22	Mg/m³
energy above the most stable polymorph in this dataset	0.42	eV per formula unit
space-group type	P4/mmm

abc: 5.1627 5.1627 4.8816
angles: 90.00 90.00 90.00
Positions (direct):
Li 0.0000 0.0000 0.0000
La 0.0000 0.5000 0.5000
La 0.5000 0.0000 0.5000
Zn 0.5000 0.5000 0.0000
Co 0.0000 0.0000 0.5000

***

(21)
An optimized crystal structure of HgAu2Br, computed with GGA-PBE.

Summary:
E_tot	-2.047	eV per atom
calculated density	11.45	Mg/m³
energy above the most stable polymorph in this dataset	0.27	eV per formula unit
space-group type	R3m
formation energy from raw total energies	0.085	eV/atom

abc: 7.2165 7.2165 7.2165
angles: 32.75 32.75 32.75
Positions (direct):
Hg 0.0000 0.0000 0.0000
Au 0.4811 0.4811 0.4811
Au 0.7430 0.7430 0.7430
Br 0.2294 0.2294 0.2294

***

(22)
An optimized crystal structure of SrIr2F, computed with GGA-PBE.

Summary:
E_tot	-4.427	eV per atom
calculated density	11.05	Mg/m³
energy above the most stable polymorph in this dataset	3.20	eV per formula unit
space-group type	Fm-3m
formation energy from raw total energies	0.892	eV/atom

abc: 4.7085 4.7085 4.7085
angles: 60.00 60.00 60.00
Positions (direct):
Sr 0.0000 0.0000 0.0000
Ir 0.2500 0.2500 0.2500
Ir 0.7500 0.7500 0.7500
F 0.5000 0.5000 0.5000

***

(23)
An optimized crystal structure of Li2ZrNp2S6, computed with GGA-PBE.

Summary:
E_tot	-7.139	eV per atom
calculated density	5.37	Mg/m³
space-group type	C2/m
formation energy from raw total energies	-1.410	eV/atom

abc: 6.6790 6.6790 6.5033
angles: 99.36 99.36 119.62
Positions (direct):
Li 0.1595 0.8405 0.0000
Li 0.8405 0.1595 0.0000
Zr 0.0000 0.0000 0.5000
Np 0.3357 0.6643 0.5000
Np 0.6643 0.3357 0.5000
S 0.0724 0.3987 0.7424
S 0.2364 0.2364 0.2534
S 0.3987 0.0724 0.7424
S 0.6013 0.9276 0.2576
S 0.7636 0.7636 0.7466
S 0.9276 0.6013 0.2576